*one*
# CrGe2Ir (PBE, relaxed)
data_CrGe2Ir
_chemical_formula_sum 'Cr3 Ge6 Ir3'
_cell_length_a 2.9447
_cell_length_b 2.9447
_cell_length_c 26.5960
_cell_angle_alpha 90.00
_cell_angle_beta 90.00
_cell_angle_gamma 120.00
_space_group_name_H-M_alt 'R -3 m'
_space_group_IT_number 166
_space_group_name_Hall '-R 3 2"'
loop_
_atom_site_label
_atom_site_type_symbol
_atom_site_fract_x
_atom_site_fract_y
_atom_site_fract_z
Cr1 Cr 0.0000 0.0000 0.0000
Ge1 Ge 0.0000 0.0000 0.0925
Ir1 Ir 0.0000 0.0000 0.5000
# **Mass density**: 9.7 Mg/m³
# **Magnetic moment**: 2.79 μB per formula unit



*two*
# CrGe2Ir (PBE, relaxed)
data_CrGe2Ir
_chemical_formula_sum 'Cr4 Ge8 Ir4'
_cell_length_a 6.0785
_cell_length_b 6.0785
_cell_length_c 6.0785
_cell_angle_alpha 90.00
_cell_angle_beta 90.00
_cell_angle_gamma 90.00
_space_group_name_H-M_alt 'F m -3 m'
_space_group_IT_number 225
_space_group_name_Hall '-F 4 2 3'
loop_
_atom_site_label
_atom_site_type_symbol
_atom_site_fract_x
_atom_site_fract_y
_atom_site_fract_z
Cr1 Cr 0.0000 0.0000 0.0000
Ge1 Ge 0.2500 0.2500 0.2500
Ir1 Ir 0.0000 0.0000 0.5000
# **Mass density**: 11.5 Mg/m³
# **Magnetic moment**: 0.64 μB per formula unit



Which structure wins on stability? *two* wins.



*one*
# Cr3GeIr (PBE, relaxed)
data_Cr3GeIr
_chemical_formula_sum 'Cr3 Ge1 Ir1'
_cell_length_a 4.3388
_cell_length_b 4.3388
_cell_length_c 4.3388
_cell_angle_alpha 90.00
_cell_angle_beta 90.00
_cell_angle_gamma 90.00
_space_group_name_H-M_alt 'P m -3 m'
_space_group_IT_number 221
_space_group_name_Hall '-P 4 2 3'
loop_
_atom_site_label
_atom_site_type_symbol
_atom_site_fract_x
_atom_site_fract_y
_atom_site_fract_z
Cr1 Cr 0.0000 0.0000 0.5000
Ge1 Ge 0.0000 0.0000 0.0000
Ir1 Ir 0.5000 0.5000 0.5000
# **Mass density**: 8.6 Mg/m³
# **Magnetic moment**: 4.81 μB per formula unit



*two*
# Cr3GeIr (PBE, relaxed)
data_Cr3GeIr
_chemical_formula_sum 'Cr3 Ge1 Ir1'
_cell_length_a 4.7269
_cell_length_b 4.7269
_cell_length_c 4.7269
_cell_angle_alpha 90.00
_cell_angle_beta 90.00
_cell_angle_gamma 90.00
_space_group_name_H-M_alt 'P m -3 m'
_space_group_IT_number 221
_space_group_name_Hall '-P 4 2 3'
loop_
_atom_site_label
_atom_site_type_symbol
_atom_site_fract_x
_atom_site_fract_y
_atom_site_fract_z
Cr1 Cr 0.0000 0.0000 0.5000
Ge1 Ge 0.5000 0.5000 0.5000
Ir1 Ir 0.0000 0.0000 0.0000
# **Mass density**: 6.6 Mg/m³
# **Magnetic moment**: 9.89 μB per formula unit



Which structure wins on stability? *two* wins.



*one*
# K2CrGe2 (PBE, relaxed)
data_K2CrGe2
_chemical_formula_sum 'K4 Cr2 Ge4'
_cell_length_a 3.7613
_cell_length_b 3.7613
_cell_length_c 22.7242
_cell_angle_alpha 90.00
_cell_angle_beta 90.00
_cell_angle_gamma 90.00
_space_group_name_H-M_alt 'I 4/m m m'
_space_group_IT_number 139
_space_group_name_Hall '-I 4 2'
loop_
_atom_site_label
_atom_site_type_symbol
_atom_site_fract_x
_atom_site_fract_y
_atom_site_fract_z
K1 K 0.0000 0.0000 0.1158
Cr1 Cr 0.0000 0.0000 0.5000
Ge1 Ge 0.0000 0.5000 0.2500
# **Mass density**: 2.8 Mg/m³
# **Magnetic moment**: 5.18 μB per formula unit



*two*
# K2CrGe2 (PBE, relaxed)
data_K2CrGe2
_chemical_formula_sum 'K4 Cr2 Ge4'
_cell_length_a 6.8752
_cell_length_b 6.8752
_cell_length_c 5.8737
_cell_angle_alpha 90.00
_cell_angle_beta 90.00
_cell_angle_gamma 90.00
_space_group_name_H-M_alt 'P 4/m b m'
_space_group_IT_number 127
_space_group_name_Hall '-P 4 2ab'
loop_
_atom_site_label
_atom_site_type_symbol
_atom_site_fract_x
_atom_site_fract_y
_atom_site_fract_z
K1 K 0.1604 0.3396 0.0000
Cr1 Cr 0.0000 0.0000 0.5000
Ge1 Ge 0.2009 0.7009 0.5000
# **Mass density**: 3.3 Mg/m³
# **Magnetic moment**: 2.34 μB per formula unit



Which structure wins on stability? *two* wins.



*one*
# LiCrGe2 (PBE, relaxed)
data_LiCrGe2
_chemical_formula_sum 'Li4 Cr4 Ge8'
_cell_length_a 3.9325
_cell_length_b 3.9325
_cell_length_c 16.8713
_cell_angle_alpha 90.00
_cell_angle_beta 90.00
_cell_angle_gamma 90.00
_space_group_name_H-M_alt 'I -4 2 d'
_space_group_IT_number 122
_space_group_name_Hall 'I -4 2bw'
loop_
_atom_site_label
_atom_site_type_symbol
_atom_site_fract_x
_atom_site_fract_y
_atom_site_fract_z
Li1 Li 0.0000 0.0000 0.0000
Cr1 Cr 0.0000 0.0000 0.5000
Ge1 Ge 0.2291 0.2500 0.6250
# **Mass density**: 5.2 Mg/m³
# **Magnetic moment**: 0.07 μB per formula unit



*two*
# LiCrGe2 (PBE, relaxed)
data_LiCrGe2
_chemical_formula_sum 'Li3 Cr3 Ge6'
_cell_length_a 2.9094
_cell_length_b 2.9094
_cell_length_c 24.9423
_cell_angle_alpha 90.00
_cell_angle_beta 90.00
_cell_angle_gamma 120.00
_space_group_name_H-M_alt 'R -3 m'
_space_group_IT_number 166
_space_group_name_Hall '-R 3 2"'
loop_
_atom_site_label
_atom_site_type_symbol
_atom_site_fract_x
_atom_site_fract_y
_atom_site_fract_z
Li1 Li 0.0000 0.0000 0.0000
Cr1 Cr 0.0000 0.0000 0.5000
Ge1 Ge 0.0000 0.0000 0.2448
# **Mass density**: 5.6 Mg/m³
# **Magnetic moment**: 1.21 μB per formula unit



Which structure wins on stability? *two* wins.